This record from the Alexandria database describes a geometry-optimized BaMnPt structure. The functional is PBE.

Unit cell a=6.297 b=6.297 c=6.297 alpha=146.50 beta=146.50 gamma=48.10
Fractional coordinates of all 3 atoms:
Ba (0.000, 0.000, 0.000)
Mn (0.726, 0.726, 0.000)
Pt (0.288, 0.288, 0.000)

## Properties
VASP energy in eV/atom: -5.7917
Space group: No. 107
Energy of formation from the pure elements in meV/atom: -81
Calculated density in g/cm³: 8.492

=====

This record from the Alexandria database describes a geometry-optimized BaMn4Pt structure. The functional is PBE.

Unit cell a=5.452 b=5.452 c=5.452 alpha=60.00 beta=60.00 gamma=60.00
Fractional coordinates of all 6 atoms:
Ba (0.000, 0.000, 0.000)
Mn (0.132, 0.622, 0.622)
Mn (0.622, 0.132, 0.622)
Mn (0.622, 0.622, 0.132)
Mn (0.622, 0.622, 0.622)
Pt (0.250, 0.250, 0.250)

## Properties
VASP energy in eV/atom: -6.8969
Space group: No. 216
Energy of formation from the pure elements in meV/atom: 543
Calculated density in g/cm³: 8.003

=====

This record from the Alexandria database describes a geometry-optimized Ba2MnPt structure. The functional is PBE.

Unit cell a=3.975 b=3.992 c=7.925 alpha=90.00 beta=90.00 gamma=90.00
Fractional coordinates of all 4 atoms:
Ba (0.000, 0.000, 0.227)
Ba (0.000, 0.000, 0.773)
Mn (0.500, 0.500, 0.500)
Pt (0.500, 0.500, 0.000)

## Properties
VASP energy in eV/atom: -4.7438
Space group: No. 47
Energy of formation from the pure elements in meV/atom: 20
Calculated density in g/cm³: 6.928

=====

This record from the Alexandria database describes a geometry-optimized Ba2MnPt structure. The functional is PBE.

Unit cell a=4.489 b=4.489 c=9.030 alpha=104.28 beta=104.28 gamma=59.88
Fractional coordinates of all 4 atoms:
Ba (0.236, 0.236, 0.209)
Ba (0.764, 0.764, 0.791)
Mn (0.000, 0.000, 0.500)
Pt (0.500, 0.500, 0.000)

## Properties
VASP energy in eV/atom: -4.6534
Space group: No. 12
Energy of formation from the pure elements in meV/atom: 111
Calculated density in g/cm³: 5.774

=====

This record from the Alexandria database describes a geometry-optimized Ba2MnPt structure. The functional is PBE.

Unit cell a=5.395 b=5.395 c=5.395 alpha=60.00 beta=60.00 gamma=60.00
Fractional coordinates of all 4 atoms:
Ba (0.000, 0.000, 0.000)
Ba (0.250, 0.250, 0.250)
Mn (0.500, 0.500, 0.500)
Pt (0.750, 0.750, 0.750)

## Properties
VASP energy in eV/atom: -4.5505
Space group: No. 216
Energy of formation from the pure elements in meV/atom: 213
Calculated density in g/cm³: 7.847

=====

This record from the Alexandria database describes a geometry-optimized Ba2MnPt structure. The functional is PBE.

Unit cell a=4.504 b=6.698 c=6.698 alpha=42.10 beta=90.00 gamma=90.00
Fractional coordinates of all 4 atoms:
Ba (0.000, 0.000, 0.000)
Ba (0.500, 0.281, 0.281)
Mn (0.000, 0.686, 0.686)
Pt (0.500, 0.586, 0.586)

## Properties
VASP energy in eV/atom: -4.9343
Space group: No. 38
Energy of formation from the pure elements in meV/atom: -170
Calculated density in g/cm³: 6.430

=====

This record from the Alexandria database describes a geometry-optimized BaMn3Pt structure. The functional is PBE.

Unit cell a=4.928 b=4.928 c=4.928 alpha=90.00 beta=90.00 gamma=90.00
Fractional coordinates of all 5 atoms:
Ba (0.000, 0.000, 0.000)
Mn (0.000, 0.000, 0.500)
Mn (0.000, 0.500, 0.000)
Mn (0.500, 0.000, 0.000)
Pt (0.500, 0.500, 0.500)

## Properties
VASP energy in eV/atom: -4.9308
Space group: No. 221
Polymorph energy (0 for the lowest one) in meV per atom: 1812
Energy of formation from the pure elements in meV/atom: 2164
Calculated density in g/cm³: 6.898

=====

This record from the Alexandria database describes a geometry-optimized BaMnPt structure. The functional is PBE.

Unit cell a=4.449 b=4.449 c=4.852 alpha=90.00 beta=90.00 gamma=120.00
Fractional coordinates of all 3 atoms:
Ba (0.000, 0.000, 0.000)
Mn (0.667, 0.333, 0.500)
Pt (0.333, 0.667, 0.500)

## Properties
VASP energy in eV/atom: -5.9291
Space group: No. 187
Energy of formation from the pure elements in meV/atom: -218
Calculated density in g/cm³: 7.734

=====

This record from the Alexandria database describes a geometry-optimized BaMnPt2S structure. The functional is PBE.

Unit cell a=5.327 b=5.327 c=5.611 alpha=90.00 beta=90.00 gamma=90.00
Fractional coordinates of all 5 atoms:
Ba (0.000, 0.000, 0.000)
Mn (0.500, 0.500, 0.500)
Pt (0.000, 0.500, 0.000)
Pt (0.500, 0.000, 0.000)
S (0.000, 0.000, 0.500)

## Properties
VASP energy in eV/atom: -3.4396
Space group: No. 123
Energy relative to the elements, uncorrected in eV per atom: 2.021
Calculated density in g/cm³: 6.409

=====

This record from the Alexandria database describes a geometry-optimized BaMnPtS2 structure. The functional is PBE.

Unit cell a=5.637 b=5.637 c=5.399 alpha=90.00 beta=90.00 gamma=90.00
Fractional coordinates of all 5 atoms:
Ba (0.000, 0.000, 0.000)
Mn (0.500, 0.500, 0.500)
Pt (0.000, 0.000, 0.500)
S (0.000, 0.500, 0.000)
S (0.500, 0.000, 0.000)

## Properties
VASP energy in eV/atom: -4.0220
Space group: No. 123
Energy relative to the elements, uncorrected in eV per atom: 1.056
Calculated density in g/cm³: 4.369

=====

This record from the Alexandria database describes a geometry-optimized Ba2MnSiPt6 structure. The functional is PBE.

Unit cell a=6.711 b=6.711 c=8.192 alpha=124.66 beta=124.66 gamma=50.41
Fractional coordinates of all 10 atoms:
Ba (0.239, 0.239, 0.178)
Ba (0.761, 0.761, 0.822)
Mn (0.500, 0.500, 0.000)
Si (0.000, 0.000, 0.500)
Pt (0.225, 0.713, 0.705)
Pt (0.249, 0.249, 0.627)
Pt (0.287, 0.775, 0.295)
Pt (0.713, 0.225, 0.705)
Pt (0.751, 0.751, 0.373)
Pt (0.775, 0.287, 0.295)

## Properties
VASP energy in eV/atom: -6.0761
Space group: No. 12
Energy relative to the elements, uncorrected in eV per atom: -0.608
Calculated density in g/cm³: 11.477

=====

This record from the Alexandria database describes a geometry-optimized Ba2MnSn3Pt4 structure. The functional is PBE.

Unit cell a=4.722 b=4.722 c=10.850 alpha=90.00 beta=90.00 gamma=90.00
Fractional coordinates of all 10 atoms:
Ba (0.000, 0.500, 0.249)
Ba (0.500, 0.000, 0.751)
Mn (0.000, 0.000, 0.500)
Sn (0.000, 0.500, 0.877)
Sn (0.500, 0.000, 0.123)
Sn (0.500, 0.500, 0.500)
Pt (0.000, 0.000, 0.000)
Pt (0.000, 0.500, 0.625)
Pt (0.500, 0.000, 0.375)
Pt (0.500, 0.500, 0.000)

## Properties
VASP energy in eV/atom: -5.5885
Space group: No. 115
Energy of formation from the pure elements in meV/atom: -670
Calculated density in g/cm³: 10.061

=====

Magnetization: 4.23; 15.71; 3.69; 4.09; 4.29; 3.89; 10.76; 4.01; 0.41; 4.57; 4.02; 4.20 (μB/f.u.)